[1]
The following is a GGA-PBE calculation of an optimized crystal structure of La2Tc, from Alexandria via LeMat-Bulk.

Cell: 7.036 7.036 7.036 Å, 90.00 90.00 90.00°
Space group Fm-3m (No. 225)
Inequivalent atoms, fractional coordinates:
La  0.250  0.250  0.250 [8 per cell]
Tc  0.000  0.000  0.000 [4 per cell]

Values from the calculation:
Calculated density (Mg/m³): 7.166
Relative energy among the computed polymorphs (eV/atom): 0.0847
Energy (eV per atom): -6.621
Energy relative to the elements (eV/atom): 0.119

[2]
The following is a GGA-PBE calculation of an optimized crystal structure of SrSc2H, from Alexandria via LeMat-Bulk.

Cell: 3.4141 3.4141 27.4392 Å, 90.00 90.00 120.00°
Space group R-3m (No. 166, hexagonal axes)
Inequivalent atoms, fractional coordinates:
Sr  0.0000  0.0000  0.0000 [3 per cell]
Sc  0.0000  0.0000  0.1234 [6 per cell]
H  0.0000  0.0000  0.5000 [3 per cell]

Values from the calculation:
Calculated density (Mg/m³): 3.211
Relative energy among the computed polymorphs (eV/atom): 0.1503
Energy (eV per atom): -4.320